Arrangement P

The following is a DFT calculation (GGA-PBE) of crystalline LiMo3H at its relaxed geometry.

Summary:
- spin magnetization (μB/f.u.) = 0.00
- DOS(E_F) (states/eV/atom) = 0.66

Unit cell a=3.976 b=3.976 c=3.976 alpha=90.00 beta=90.00 gamma=90.00
Fractional positions:
Li  0.000  0.000  0.000
Mo  0.000  0.500  0.500
Mo  0.500  0.000  0.500
Mo  0.500  0.500  0.000
H  0.500  0.500  0.500

Arrangement Q

The following is a DFT calculation (GGA-PBE) of crystalline LiMo3H at its relaxed geometry.

Summary:
- spin magnetization (μB/f.u.) = 0.00
- DOS(E_F) (states/eV/atom) = 0.91

Unit cell a=4.170 b=4.170 c=4.170 alpha=90.00 beta=90.00 gamma=90.00
Fractional positions:
Li  0.000  0.000  0.000
Mo  0.000  0.000  0.500
Mo  0.000  0.500  0.000
Mo  0.500  0.000  0.000
H  0.500  0.500  0.500

Which is most stable? The ranking, best first, is arrangement P, arrangement Q.

Arrangement P

The following is a DFT calculation (GGA-PBE) of crystalline Li7HN2 at its relaxed geometry.

Summary:
- spin magnetization (μB/f.u.) = 0.00
- DOS(E_F) (states/eV/atom) = 0.00

Unit cell a=6.037 b=6.037 c=3.781 alpha=90.00 beta=90.00 gamma=115.16
Fractional positions:
Li  0.000  0.000  0.000
Li  0.162  0.462  0.000
Li  0.193  0.807  0.500
Li  0.462  0.162  0.000
Li  0.538  0.838  0.000
Li  0.807  0.193  0.500
Li  0.838  0.538  0.000
H  0.500  0.500  0.500
N  0.189  0.811  0.000
N  0.811  0.189  0.000

Arrangement Q

The following is a DFT calculation (GGA-PBE) of crystalline Li7HN2 at its relaxed geometry.

Summary:
- spin magnetization (μB/f.u.) = 0.00

Unit cell a=10.028 b=10.028 c=10.028 alpha=20.51 beta=20.51 gamma=20.51
Fractional positions:
Li  0.000  0.000  0.000
Li  0.131  0.131  0.131
Li  0.276  0.276  0.276
Li  0.409  0.409  0.409
Li  0.591  0.591  0.591
Li  0.724  0.724  0.724
Li  0.869  0.869  0.869
H  0.500  0.500  0.500
N  0.066  0.066  0.066
N  0.934  0.934  0.934

Which is most stable? The ranking, best first, is arrangement Q, arrangement P.